(1)
This record from Alexandria via LeMat-Bulk describes crystalline Sc2AsCl at its relaxed geometry. The functional is PBEsol.

```
Sc2AsCl
1.0
-4.790 -0.275 -0.009
-2.160 -4.253 0.520
-2.352 -1.016 4.057
As Sc Cl
1 2 1
Cartesian
-4.651 -2.772 2.284
0.000 0.000 0.000
-6.977 -4.157 3.426
-2.326 -1.386 1.142
```

Density of states at the Fermi level ... 1.514 states/eV per atom
Uncorrected formation energy ... -0.255 eV per atom
Total magnetization ... 0.4779 μB per atom

---

(2)
This record from Alexandria via LeMat-Bulk describes crystalline NiPb2W at its relaxed geometry. The functional is PBEsol.

```
NiPb2W
1.0
-0.957 3.794 -2.661
0.276 -0.287 -4.716
-3.944 0.124 -2.613
Ni Pb W
1 2 1
Cartesian
0.000 0.000 0.000
-3.468 2.724 -7.492
-1.156 0.908 -2.497
-2.312 1.816 -4.995
```

Calculated formation energy ... 0.9664 eV/atom
Density of states at the Fermi level ... 0.764 states/eV per atom
Energy above the lowest structure with this stoichiometry ... 2.27 eV per formula unit
Total magnetization ... 0.0000 μB per atom

---

(3)
This record from Alexandria via LeMat-Bulk describes crystalline CaSi2PbN at its relaxed geometry. The functional is PBEsol.

```
CaSi2PbN
1.0
5.156 0.000 0.000
0.000 5.156 0.000
0.000 0.000 6.072
Pb N Si Ca
1 1 2 1
Cartesian
0.000 0.000 0.000
2.578 2.578 3.036
0.000 2.578 0.000
2.578 0.000 0.000
0.000 0.000 3.036
```

Density of states at the Fermi level ... 0.919 states/eV per atom
Uncorrected formation energy ... 1.819 eV per atom
Total magnetization ... 0.3904 μB per atom

---

(4)
This record from Alexandria via LeMat-Bulk describes crystalline Be2AlP at its relaxed geometry. The functional is PBEsol.

```
Be2AlP
1.0
-0.903 2.264 0.536
-1.984 -0.173 -2.612
-4.216 -2.479 3.366
P Be Al
1 2 1
Cartesian
-1.785 -1.049 1.425
-0.187 -0.110 0.149
-2.457 0.450 -0.229
-4.782 -0.917 1.627
```

Calculated formation energy ... 0.2223 eV/atom
Density of states at the Fermi level ... 0.289 states/eV per atom
Energy above the lowest structure with this stoichiometry ... 0.16 eV per formula unit
Total magnetization ... 0.0000 μB per atom

---

(5)
This record from Alexandria via LeMat-Bulk describes crystalline MnTeRu2 at its relaxed geometry. The functional is PBEsol.

```
MnTeRu2
1.0
-2.585 1.162 -0.708
1.325 -0.487 -4.567
-1.145 -4.341 2.550
Ru Mn Te
2 1 1
Cartesian
-1.203 -1.833 -1.363
-0.572 -2.170 1.275
0.662 -0.243 -2.284
-1.293 0.581 -0.354
```

Density of states at the Fermi level ... 1.087 states/eV per atom
Uncorrected formation energy ... 0.527 eV per atom
Total magnetization ... 0.9292 μB per atom

---

(6)
This record from Alexandria via LeMat-Bulk describes crystalline SrLiBeIn2 at its relaxed geometry. The functional is PBEsol.

```
SrLiBeIn2
1.0
5.382 0.000 0.000
0.000 6.104 0.000
0.000 0.000 6.104
Be In Sr Li
1 2 1 1
Cartesian
2.691 0.000 0.000
0.000 0.000 3.052
0.000 3.052 0.000
0.000 0.000 0.000
2.691 3.052 3.052
```

Calculated formation energy ... 1.0892 eV/atom
Density of states at the Fermi level ... 0.877 states/eV per atom
Total magnetization ... 0.0000 μB per atom

---

(7)
This record from Alexandria via LeMat-Bulk describes crystalline SmMgCd2 at its relaxed geometry. The functional is PBEsol.

```
SmMgCd2
1.0
-4.143 -1.814 -2.291
-1.645 -4.675 1.068
-4.281 -0.639 2.639
Cd Sm Mg
2 1 1
Cartesian
-7.552 -5.347 1.062
-2.517 -1.782 0.354
-5.035 -3.564 0.708
0.000 0.000 0.000
```

Calculated formation energy ... -0.3594 eV/atom
Density of states at the Fermi level ... 0.356 states/eV per atom
Total magnetization ... 0.0000 μB per atom

---

(8)
This record from Alexandria via LeMat-Bulk describes crystalline BaSrS2 at its relaxed geometry. The functional is PBEsol.

```
BaSrS2
1.0
4.545 0.000 0.000
2.272 3.936 0.000
2.272 1.312 8.555
S Sr Ba
2 1 1
Cartesian
2.272 1.312 5.738
6.817 3.936 2.817
4.545 2.624 4.277
0.000 0.000 0.000
```

Density of states at the Fermi level ... 0.797 states/eV per atom
Energy above the lowest structure with this stoichiometry ... 2.47 eV per formula unit
Uncorrected formation energy ... -1.287 eV per atom
Total magnetization ... 0.0001 μB per atom